No. 1
! Sr2Hg4Bi2Pd (PBE, optimized geometry); values from VASP
&SYSTEM
  ibrav = 0, nat = 9, ntyp = 4
/
ATOMIC_SPECIES
Pd 106.42 Pd.upf
Bi 208.98 Bi.upf
Sr 87.62 Sr.upf
Hg 200.59 Hg.upf
ATOMIC_POSITIONS angstrom
Pd 0.0000 0.0000 0.0000
Bi 5.7513 4.2403 -2.3025
Sr 3.7790 0.6014 2.1064
Hg 1.7273 -1.9799 0.6684
Sr 3.3574 -1.3105 -2.4677
Hg 4.1583 3.7945 0.4937
Hg 5.4091 1.2708 -1.0297
Bi 2.1817 1.6085 -0.8734
Hg 3.7746 2.0543 -3.6696
CELL_PARAMETERS angstrom
-0.7965 -6.5579 2.8145
3.5449 1.0125 -6.1620
4.3881 4.8363 2.9862
! Formation enthalpy at 0 K, kcal/mol of atoms: -9.54
! Crystal system: tetragonal

No. 2
! Nd12Ho5Tm (PBE, optimized geometry); values from VASP
&SYSTEM
  ibrav = 0, nat = 18, ntyp = 3
/
ATOMIC_SPECIES
Nd 144.24 Nd.upf
Ho 164.93 Ho.upf
Tm 168.93 Tm.upf
ATOMIC_POSITIONS angstrom
Nd 2.2085 -11.3276 13.8853
Nd 4.7918 -5.7397 8.6338
Nd 1.6857 -1.0382 5.9755
Nd -1.4922 0.3156 7.1054
Nd 3.9709 -8.9660 16.0149
Nd -0.1488 -6.7602 7.6485
Nd 0.8648 -4.2645 13.3567
Nd -0.8956 -6.6325 11.2353
Ho 4.1203 -2.2080 8.3695
Tm 0.0000 0.0000 0.0001
Nd 1.6119 -4.3926 9.7705
Nd 3.4481 1.3235 8.1051
Ho -0.8205 -3.2223 7.3769
Ho 1.5363 -7.7961 13.6209
Ho 2.3553 -4.5742 6.2437
Nd -0.7454 0.1880 3.5186
Ho 4.7187 -9.1467 12.4890
Nd 4.0447 -5.6116 12.2199
CELL_PARAMETERS angstrom
-0.2237 -10.1612 11.4961
7.2977 -3.5596 7.2366
-1.4174 3.7167 3.2577
! Formation enthalpy at 0 K, kcal/mol of atoms: 0.49
! Crystal system: orthorhombic

No. 3
! La9In2Hg (PBE, optimized geometry); values from VASP
&SYSTEM
  ibrav = 0, nat = 12, ntyp = 3
/
ATOMIC_SPECIES
La 138.91 La.upf
Hg 200.59 Hg.upf
In 114.82 In.upf
ATOMIC_POSITIONS angstrom
La 2.5280 2.5280 0.0000
La 0.0000 2.5280 7.5593
La 2.5280 0.0000 2.5072
Hg 0.0000 0.0000 0.0000
La 2.5280 0.0000 12.6114
In 0.0000 0.0000 5.0166
La 2.5280 0.0000 7.5593
La 0.0000 2.5280 12.6114
In 0.0000 0.0000 10.1021
La 0.0000 2.5280 2.5072
La 2.5280 2.5280 10.1069
La 2.5280 2.5280 5.0117
CELL_PARAMETERS angstrom
5.0561 0.0000 0.0000
0.0000 5.0561 0.0000
0.0000 0.0000 15.1186
! Formation enthalpy at 0 K, kcal/mol of atoms: -6.26
! Crystal system: tetragonal

No. 4
! PaSi2PbO8 (PBE, optimized geometry); values from VASP
&SYSTEM
  ibrav = 0, nat = 12, ntyp = 4
/
ATOMIC_SPECIES
O 16.00 O.upf
Pb 207.20 Pb.upf
Si 28.09 Si.upf
Pa 231.04 Pa.upf
ATOMIC_POSITIONS angstrom
O -2.3266 2.8103 2.4831
O -4.7800 -1.0126 -0.1753
O -4.1225 0.8081 2.3649
Pb -2.5004 -1.8983 1.8772
O -5.2011 -2.5970 1.9603
O -3.7014 2.3924 0.2293
O -1.8154 0.6561 0.9857
Si -3.0043 1.6570 1.5254
O -7.0871 -0.8607 1.2039
Pa 0.0000 0.0000 0.0000
O -6.5759 -3.0149 -0.2935
Si -5.8982 -1.8616 0.6642
CELL_PARAMETERS angstrom
-1.0577 4.4564 3.0977
-2.8440 -0.8644 -4.6624
-5.0008 -3.7966 3.7543
! Crystal system: trigonal
! Formation energy from raw total energies, eV/f.u.: -29.734

No. 5
! NbSI3 (PBE, optimized geometry); values from VASP
&SYSTEM
  ibrav = 0, nat = 5, ntyp = 3
/
ATOMIC_SPECIES
S 32.06 S.upf
I 126.90 I.upf
Nb 92.91 Nb.upf
ATOMIC_POSITIONS angstrom
S 0.0000 0.0000 0.0000
I 0.2808 -1.0336 2.5338
Nb -0.5776 -4.5792 1.1826
I -2.3160 -1.4464 -0.3334
I 1.4576 -2.0992 -1.0178
CELL_PARAMETERS angstrom
-4.6319 -2.8929 -0.6668
2.9151 -4.1984 -2.0356
0.5615 -2.0671 5.0675
! Crystal system: cubic
! Formation energy from raw total energies, eV/f.u.: 4.870

No. 6
! Tm12ZnPd6 (PBE, optimized geometry); values from VASP
&SYSTEM
  ibrav = 0, nat = 19, ntyp = 3
/
ATOMIC_SPECIES
Tm 168.93 Tm.upf
Pd 106.42 Pd.upf
Zn 65.41 Zn.upf
ATOMIC_POSITIONS angstrom
Tm 0.9701 -4.7590 -0.1083
Tm 0.9078 -2.6656 -3.9587
Pd -0.7939 -4.3686 -2.2905
Zn 0.0000 0.0000 0.0000
Pd 6.1383 -3.9028 -2.2930
Pd 3.1912 -1.0072 -3.7099
Pd 2.1533 -7.2642 -0.8736
Tm -0.0279 -3.8388 -7.3659
Tm -2.5654 -6.4661 -2.8035
Tm 4.4367 -5.6058 -0.6248
Tm 4.3441 -0.1685 -6.1117
Tm 1.0004 -8.1029 1.5282
Tm 7.9098 -1.8052 -1.7800
Tm 4.3743 -3.5124 -4.4752
Tm 5.3723 -4.4326 2.7824
Pd 1.9814 -4.7321 -5.6436
Tm 4.2432 -2.0488 -1.1826
Pd 3.3631 -3.5393 1.0602
Tm 1.1013 -6.2226 -3.4009
CELL_PARAMETERS angstrom
-4.1423 -7.1070 -0.5854
2.5323 1.1810 -7.7590
6.9544 -2.3454 3.7610
! Formation enthalpy at 0 K, kcal/mol of atoms: -10.79
! Crystal system: trigonal

No. 7
! HfTc2SnH (PBE, optimized geometry); values from VASP
&SYSTEM
  ibrav = 0, nat = 5, ntyp = 4
/
ATOMIC_SPECIES
Sn 118.71 Sn.upf
Tc 98.00 Tc.upf
Hf 178.49 Hf.upf
H 1.01 H.upf
ATOMIC_POSITIONS angstrom
Sn 0.6922 2.7942 2.1529
Tc -1.0473 1.8529 0.0367
Tc 0.0296 -0.0254 2.1284
Hf 1.7099 0.9667 -0.0123
H 0.0000 0.0000 0.0000
CELL_PARAMETERS angstrom
-2.0946 3.7058 0.0735
0.0593 -0.0509 4.2568
3.4197 1.9334 -0.0245
! Crystal system: tetragonal
! VASP energy, eV per atom: -7.7516

No. 8
! K2TiF5 (PBE, optimized geometry); values from VASP
&SYSTEM
  ibrav = 0, nat = 8, ntyp = 3
/
ATOMIC_SPECIES
F 19.00 F.upf
K 39.10 K.upf
Ti 47.87 Ti.upf
ATOMIC_POSITIONS angstrom
F -1.1419 0.3760 1.3862
F -4.4120 0.8902 1.6872
K -2.9173 -1.0114 2.8283
Ti -2.4020 0.3662 6.2848
K 0.5434 1.0231 3.4199
F 2.4766 2.8253 3.0171
F -1.2317 -0.3649 4.8623
F -2.6212 -1.4856 7.0563
CELL_PARAMETERS angstrom
-6.4341 -2.7697 2.0801
3.5656 -0.2128 5.7849
0.4385 3.7036 -1.5436
! Crystal system: monoclinic
! Formation energy from raw total energies, eV/f.u.: -25.096

No. 9
! Al2RhW (PBE, optimized geometry); values from VASP
&SYSTEM
  ibrav = 0, nat = 4, ntyp = 3
/
ATOMIC_SPECIES
Al 26.98 Al.upf
Rh 102.91 Rh.upf
W 183.84 W.upf
ATOMIC_POSITIONS angstrom
Al 0.0061 -0.0032 0.0199
Al 1.3151 -2.2598 0.8171
Rh 0.7976 -0.4207 2.5907
W 2.1447 -2.6973 3.5116
CELL_PARAMETERS angstrom
-1.2714 -2.5778 -0.0272
3.0289 -1.4814 -1.1731
1.6706 -0.8812 5.4264
! Formation enthalpy at 0 K, kcal/mol of atoms: -7.59
! Crystal system: orthorhombic

No. 10
! BaAgS3 (PBE, optimized geometry); values from VASP
&SYSTEM
  ibrav = 0, nat = 10, ntyp = 3
/
ATOMIC_SPECIES
S 32.06 S.upf
Ag 107.87 Ag.upf
Ba 137.33 Ba.upf
ATOMIC_POSITIONS angstrom
S 4.5953 2.5844 2.1920
S 2.5890 2.5853 2.7507
Ag 4.9045 5.4595 6.9175
Ba 3.7156 5.4581 1.7179
Ag 0.8669 2.5859 0.9859
S 5.0297 2.5914 7.0969
S 3.1825 5.4589 5.1528
S 1.1761 5.4581 5.7114
S 0.7418 5.4650 0.8066
Ba 2.0558 2.5844 6.1855
CELL_PARAMETERS angstrom
4.9898 0.0000 -1.5402
0.0000 5.7473 0.0000
0.7816 0.0000 9.4437
! Crystal system: monoclinic
! Formation energy from raw total energies, eV/f.u.: -3.748

No. 11
! Tb4Dy3In (PBE, optimized geometry); values from VASP
&SYSTEM
  ibrav = 0, nat = 16, ntyp = 3
/
ATOMIC_SPECIES
Tb 158.93 Tb.upf
Dy 162.50 Dy.upf
In 114.82 In.upf
ATOMIC_POSITIONS angstrom
Tb 1.0331 6.1434 0.0000
Tb 4.1160 0.9001 5.5970
Tb 6.1114 0.9009 2.6485
Tb 3.0285 6.1426 8.2455
Tb 0.8305 6.1160 5.5970
Dy 2.9070 2.7027 2.8761
Dy 3.9360 4.4288 0.0000
Tb 3.0285 6.1426 2.9485
Tb 3.9134 0.9275 0.0000
Dy 5.9899 4.3408 8.4731
In 0.9209 2.6730 0.0000
In 4.0038 4.3705 5.5970
Dy 5.9899 4.3408 2.7209
Tb 6.1114 0.9009 8.5456
Dy 0.8531 2.6147 5.5970
Dy 2.9070 2.7027 8.3179
CELL_PARAMETERS angstrom
6.1658 0.0000 0.0000
0.0000 7.0435 0.0000
0.0000 0.0000 11.1940
! Formation enthalpy at 0 K, kcal/mol of atoms: -2.45
! Crystal system: orthorhombic

No. 12
! LiSmErSi (PBE, optimized geometry); values from VASP
&SYSTEM
  ibrav = 0, nat = 4, ntyp = 4
/
ATOMIC_SPECIES
Si 28.09 Si.upf
Li 6.94 Li.upf
Er 167.26 Er.upf
Sm 150.36 Sm.upf
ATOMIC_POSITIONS angstrom
Si -6.3105 -5.2094 4.1687
Li -2.1035 -1.7365 1.3896
Er 0.0000 0.0000 0.0000
Sm -4.2070 -3.4729 2.7792
CELL_PARAMETERS angstrom
-3.4295 -0.1325 3.6346
-4.2257 -2.5919 -0.6440
-0.7589 -4.2214 2.5677
! Crystal system: cubic
! Formation energy from raw total energies, eV/f.u.: -1.402

No. 13
! Mg6ZnSn (PBE, optimized geometry); values from VASP
&SYSTEM
  ibrav = 0, nat = 8, ntyp = 3
/
ATOMIC_SPECIES
Mg 24.30 Mg.upf
Sn 118.71 Sn.upf
Zn 65.41 Zn.upf
ATOMIC_POSITIONS angstrom
Mg 1.5110 -1.0166 2.5371
Mg 3.1024 -3.7437 2.5371
Mg 3.1024 -1.8765 0.0000
Mg 4.6937 -1.0166 2.5371
Mg 1.5476 0.9278 0.0000
Sn 3.1024 1.7962 2.5371
Zn 3.1024 4.0016 0.0000
Mg 4.6571 0.9278 0.0000
CELL_PARAMETERS angstrom
3.1024 -5.5692 0.0000
3.1024 5.5692 0.0000
0.0000 0.0000 5.0742
! Formation enthalpy at 0 K, kcal/mol of atoms: -0.80
! Crystal system: orthorhombic

No. 14
! KRbCd (PBE, optimized geometry); values from VASP
&SYSTEM
  ibrav = 0, nat = 6, ntyp = 3
/
ATOMIC_SPECIES
Rb 85.47 Rb.upf
Cd 112.41 Cd.upf
K 39.10 K.upf
ATOMIC_POSITIONS angstrom
Rb 1.1251 0.9213 7.4561
Cd 6.4960 3.6188 5.3972
Cd 3.9551 2.1850 5.1769
K 5.2008 1.4544 15.5501
Rb 1.7468 0.5599 2.4856
K 5.6592 4.0965 11.7426
CELL_PARAMETERS angstrom
5.0459 -0.0313 0.6269
2.5354 4.3516 0.0003
0.4179 -0.2490 16.7344
! Formation enthalpy at 0 K, kcal/mol of atoms: -0.64
! Crystal system: triclinic

No. 15
! Ta2Se3S (PBE, optimized geometry); values from VASP
&SYSTEM
  ibrav = 0, nat = 12, ntyp = 3
/
ATOMIC_SPECIES
Ta 180.95 Ta.upf
Se 78.96 Se.upf
S 32.06 S.upf
ATOMIC_POSITIONS angstrom
Ta -1.0695 -7.1711 0.7897
Se 0.6310 -2.4307 -0.8055
Se -6.9662 -17.9380 4.0768
Ta -0.6821 -0.4196 -1.8184
Ta -5.6535 -19.9499 5.0900
S -2.4321 -5.2982 -0.1767
S -3.4197 -8.0512 0.7497
Se -7.4048 -24.8319 6.7329
Se -3.8966 -15.0522 3.4418
Se -2.8089 -12.0200 2.4214
Ta -5.2087 -13.0384 2.4280
Se -8.0534 -20.9685 5.0966
CELL_PARAMETERS angstrom
-2.5233 0.1191 -2.3359
3.0457 -1.3706 -0.8261
-9.1234 -25.4333 8.5588
! Crystal system: trigonal
! Formation energy from raw total energies, eV/f.u.: -5.216

No. 16
! Be2FeAu (PBE, optimized geometry); values from VASP
&SYSTEM
  ibrav = 0, nat = 4, ntyp = 3
/
ATOMIC_SPECIES
Au 196.97 Au.upf
Be 9.01 Be.upf
Fe 55.84 Fe.upf
ATOMIC_POSITIONS angstrom
Au -1.5600 -3.7033 -4.5385
Be 1.0835 -1.0209 -2.3935
Be -0.2535 -2.7521 -2.5181
Fe -1.1315 -0.7266 -2.0062
CELL_PARAMETERS angstrom
-1.8346 1.5233 -1.4802
1.2585 -0.7964 -2.3794
-2.1155 -5.1569 -2.6852
! Formation enthalpy at 0 K, kcal/mol of atoms: -2.77
! Crystal system: monoclinic

No. 17
! ZnIn2Au8 (PBE, optimized geometry); values from VASP
&SYSTEM
  ibrav = 0, nat = 11, ntyp = 3
/
ATOMIC_SPECIES
Au 196.97 Au.upf
Zn 65.41 Zn.upf
In 114.82 In.upf
ATOMIC_POSITIONS angstrom
Au -3.2134 -0.7781 0.6051
Au -2.1370 -1.6877 3.1295
Zn -0.9443 -1.8319 -0.2609
Au -0.5675 0.0851 1.4965
Au -7.1213 3.1399 3.9319
Au -3.8639 1.7319 1.9119
In -6.4403 0.5987 2.7512
In -2.8180 0.8536 4.3102
Au -6.0449 2.2304 6.4563
Au -5.3944 -0.2796 5.1494
Au -8.6908 1.3671 5.5649
CELL_PARAMETERS angstrom
-1.8886 -3.6638 -0.5219
0.1978 -0.8634 5.4026
-7.5675 5.9794 2.1807
! Formation enthalpy at 0 K, kcal/mol of atoms: -1.76
! Crystal system: triclinic

No. 18
! KCdAg2 (PBE, optimized geometry); values from VASP
&SYSTEM
  ibrav = 0, nat = 4, ntyp = 3
/
ATOMIC_SPECIES
K 39.10 K.upf
Ag 107.87 Ag.upf
Cd 112.41 Cd.upf
ATOMIC_POSITIONS angstrom
K 2.0637 2.0116 1.3684
Ag 3.7069 -0.7233 1.3368
Cd 5.2964 2.9581 0.0000
Ag 9.5309 5.3231 0.0000
CELL_PARAMETERS angstrom
6.4986 -0.0232 -0.0316
3.3886 5.5452 0.0316
-4.1200 -4.2356 2.7052
! Formation enthalpy at 0 K, kcal/mol of atoms: 2.11
! Crystal system: orthorhombic

No. 19
! Rb3Er3ScSe8 (PBE, optimized geometry); values from VASP
&SYSTEM
  ibrav = 0, nat = 15, ntyp = 4
/
ATOMIC_SPECIES
Er 167.26 Er.upf
Se 78.96 Se.upf
Sc 44.96 Sc.upf
Rb 85.47 Rb.upf
ATOMIC_POSITIONS angstrom
Er -2.0436 1.1959 4.1030
Se -2.1005 3.5976 5.6407
Se -0.0020 2.3654 2.4949
Se 4.0880 0.0261 5.7106
Se 4.0855 2.4350 2.5500
Se 0.0005 -0.0435 5.6555
Sc -0.0001 -2.3436 4.1178
Rb -2.0435 3.5395 -0.0148
Rb 2.0431 3.5393 -0.0150
Se 6.1865 -1.2061 2.5648
Rb 0.0000 0.0000 0.0000
Se 2.0995 3.5965 5.6410
Er 4.0865 -2.3438 4.1175
Se 1.9865 -1.2050 2.5645
Er 2.0430 1.1957 4.1027
CELL_PARAMETERS angstrom
8.1732 -0.0004 -0.0005
-4.0869 7.0790 -0.0296
-0.0003 -4.6871 8.2356
! Crystal system: trigonal
! Formation energy from raw total energies, eV/f.u.: -24.492

No. 20
! AcTc2PC (PBE, optimized geometry); values from VASP
&SYSTEM
  ibrav = 0, nat = 10, ntyp = 4
/
ATOMIC_SPECIES
C 12.01 C.upf
Ac 227.00 Ac.upf
P 30.97 P.upf
Tc 98.00 Tc.upf
ATOMIC_POSITIONS angstrom
C 0.0000 0.0000 0.0000
Ac -0.6045 -2.1679 1.6821
P -0.3981 -2.5578 5.8888
Tc -1.3974 -0.4645 7.0271
Tc 2.7997 -2.5441 1.8077
P 1.8004 -0.4508 2.9460
Tc -0.1409 -0.3803 4.5219
C -1.6481 -0.1105 3.2860
Ac 2.0067 -0.8407 7.1528
Tc 1.5432 -2.6283 4.3129
CELL_PARAMETERS angstrom
-0.4392 -4.0929 -0.3579
5.1377 1.3052 2.6207
-3.2962 -0.2209 6.5720
! Formation enthalpy at 0 K, kcal/mol of atoms: -10.38
! Crystal system: orthorhombic

Number 1: total moment 0.0 μB per formula unit, DOS(E_F) 3.15 states/eV/f.u.. Number 2: total moment 0.0 μB per formula unit, DOS(E_F) 27.88 states/eV/f.u.. Number 3: total moment 0.0 μB per formula unit, DOS(E_F) 16.63 states/eV/f.u.. Number 4: total moment 1.0 μB per formula unit, DOS(E_F) 3.92 states/eV/f.u.. Number 5: total moment 3.6 μB per formula unit, DOS(E_F) 6.54 states/eV/f.u.. Number 6: total moment 0.0 μB per formula unit, DOS(E_F) 17.20 states/eV/f.u.. Number 7: total moment 0.0 μB per formula unit, DOS(E_F) 4.20 states/eV/f.u.. Number 8: total moment 1.0 μB per formula unit, DOS(E_F) 2.21 states/eV/f.u.. Number 9: total moment 0.0 μB per formula unit, DOS(E_F) 1.37 states/eV/f.u.. Number 10: total moment 0.0 μB per formula unit, DOS(E_F) 2.08 states/eV/f.u.. Number 11: total moment 0.0 μB per formula unit, DOS(E_F) 10.16 states/eV/f.u.. Number 12: total moment 0.0 μB per formula unit, DOS(E_F) 2.08 states/eV/f.u.. Number 13: total moment 0.0 μB per formula unit, DOS(E_F) 3.11 states/eV/f.u.. Number 14: total moment 0.0 μB per formula unit, DOS(E_F) 2.15 states/eV/f.u.. Number 15: total moment 0.0 μB per formula unit, DOS(E_F) 6.13 states/eV/f.u.. Number 16: total moment 0.7 μB per formula unit, DOS(E_F) 2.26 states/eV/f.u.. Number 17: total moment 0.0 μB per formula unit, DOS(E_F) 3.93 states/eV/f.u.. Number 18: total moment 0.0 μB per formula unit, DOS(E_F) 1.50 states/eV/f.u.. Number 19: total moment 0.0 μB per formula unit, DOS(E_F) 8.52 states/eV/f.u.. Number 20: total moment 0.0 μB per formula unit, DOS(E_F) 3.61 states/eV/f.u..